# ZnTeRuI2, relaxed, DFT PBE-GGA
# Raw formation energy   0.4154 eV per atom
# E above lowest polymorph   0.00 eV per formula unit
# Size of the total moment   0.000 μB/f.u.
# DFT total energy   -14.71 eV for the cell shown
data_ZnTeRuI2
_chemical_formula_sum 'Zn1 Te1 Ru1 I2'
_space_group_name_H-M_alt 'P 4/m m m'
_space_group_IT_number 123
_space_group_name_Hall '-P 4 2'
_cell_length_a 5.6332
_cell_length_b 5.6332
_cell_length_c 4.9986
_cell_angle_alpha 90.00
_cell_angle_beta 90.00
_cell_angle_gamma 90.00
loop_
_atom_site_label
_atom_site_type_symbol
_atom_site_fract_x
_atom_site_fract_y
_atom_site_fract_z
Zn1 Zn 0.0000 0.0000 0.0000
Te1 Te 0.5000 0.5000 0.0000
Ru1 Ru 0.5000 0.5000 0.5000
I1 I 0.0000 0.5000 0.5000